# Al2HOs2

An optimized crystal structure of Al2HOs2 (GGA-PBE, Alexandria).

abc: 5.6018 5.6018 4.0381
angles: 90.00 90.00 90.00
Last column: nearest neighbours and their distance in Å.
Element x y z (fractional)
Al1 0.1572 0.3428 0.0000  6 Os 2.44-2.73, 1 Al 2.49
Al2 0.3428 0.8428 0.0000  6 Os 2.44-2.73, 1 Al 2.49
Al3 0.6572 0.1572 0.0000  6 Os 2.44-2.73, 1 Al 2.49
Al4 0.8428 0.6572 0.0000  6 Os 2.44-2.73, 1 Al 2.49
H1 0.0000 0.0000 0.5000  4 Os 2.08
H2 0.5000 0.5000 0.5000  4 Os 2.08
Os1 0.1694 0.6694 0.5000  2 H 2.08
Os2 0.3306 0.1694 0.5000  2 H 2.08
Os3 0.6694 0.8306 0.5000  2 H 2.08
Os4 0.8306 0.3306 0.5000  2 H 2.08

## Properties
volume	126.72	Å³ per cell
SG	P4/mbm (127)
Fermi-level density of states	0.3080	states/eV/atom
DFT total energy	-6.729	eV per atom